(1)
{"formula": "Cs3As5O12", "functional": "PBE", "state": "relaxed", "raw_formation_energy_ev_per_atom": -1.133, "lattice": [[11.858, 0.000, 0.000], [-3.953, 11.180, 0.000], [-3.953, -5.590, 9.682]], "species": ["Cs", "Cs", "Cs", "Cs", "Cs", "Cs", "Cs", "Cs", "Cs", "Cs", "Cs", "Cs", "As", "As", "As", "As", "As", "As", "As", "As", "As", "As", "As", "As", "As", "As", "As", "As", "As", "As", "As", "As", "O", "O", "O", "O", "O", "O", "O", "O", "O", "O", "O", "O", "O", "O", "O", "O", "O", "O", "O", "O", "O", "O", "O", "O", "O", "O", "O", "O", "O", "O", "O", "O", "O", "O", "O", "O", "O", "O", "O", "O", "O", "O", "O", "O", "O", "O", "O", "O"], "fractional_positions": [[0.750, 0.375, 0.125], [0.875, 0.750, 0.125], [0.375, 0.750, 0.625], [0.250, 0.125, 0.375], [0.875, 0.125, 0.250], [0.375, 0.625, 0.250], [0.625, 0.375, 0.750], [0.125, 0.875, 0.750], [0.750, 0.875, 0.625], [0.625, 0.250, 0.375], [0.125, 0.250, 0.875], [0.250, 0.625, 0.875], [0.125, 0.375, 0.250], [0.000, 0.500, 0.000], [0.000, 0.000, 0.000], [0.375, 0.250, 0.125], [0.500, 0.000, 0.500], [0.500, 0.500, 0.000], [0.125, 0.750, 0.375], [0.750, 0.125, 0.875], [0.750, 0.625, 0.375], [0.375, 0.125, 0.750], [0.625, 0.875, 0.250], [0.500, 0.500, 0.500], [0.500, 0.000, 0.000], [0.000, 0.000, 0.500], [0.250, 0.375, 0.625], [0.250, 0.875, 0.125], [0.000, 0.500, 0.500], [0.875, 0.250, 0.625], [0.625, 0.750, 0.875], [0.875, 0.625, 0.750], [0.687, 0.098, 0.984], [0.296, 0.484, 0.385], [0.016, 0.402, 0.313], [0.484, 0.187, 0.098], [0.589, 0.687, 0.704], [0.016, 0.615, 0.204], [0.296, 0.813, 0.411], [0.115, 0.911, 0.098], [0.615, 0.016, 0.704], [0.687, 0.589, 0.204], [0.813, 0.516, 0.402], [0.796, 0.885, 0.984], [0.098, 0.687, 0.484], [0.402, 0.385, 0.089], [0.089, 0.885, 0.402], [0.411, 0.098, 0.615], [0.089, 0.204, 0.187], [0.516, 0.704, 0.115], [0.796, 0.911, 0.313], [0.098, 0.411, 0.115], [0.402, 0.016, 0.813], [0.615, 0.598, 0.411], [0.885, 0.796, 0.484], [0.813, 0.296, 0.911], [0.385, 0.402, 0.589], [0.115, 0.204, 0.516], [0.187, 0.704, 0.089], [0.204, 0.089, 0.687], [0.598, 0.984, 0.187], [0.902, 0.589, 0.885], [0.484, 0.296, 0.885], [0.589, 0.902, 0.385], [0.911, 0.796, 0.813], [0.911, 0.115, 0.598], [0.902, 0.313, 0.516], [0.204, 0.115, 0.016], [0.598, 0.615, 0.911], [0.385, 0.984, 0.296], [0.313, 0.411, 0.796], [0.187, 0.484, 0.598], [0.885, 0.089, 0.902], [0.704, 0.187, 0.589], [0.516, 0.813, 0.902], [0.984, 0.385, 0.796], [0.411, 0.313, 0.296], [0.984, 0.598, 0.687], [0.704, 0.516, 0.615], [0.313, 0.902, 0.016]]}

(2)
{"formula": "Pm4Pr2Nd5", "functional": "PBE", "state": "relaxed", "e_above_lowest_polymorph_ev_per_atom": 0.000, "ef_mev_per_atom": 128, "lattice": [[-2.511, -0.785, 2.348], [6.313, -2.750, 5.829], [0.976, 12.125, 2.450]], "species": ["Pm", "Pm", "Pm", "Pm", "Pr", "Pr", "Nd", "Nd", "Nd", "Nd", "Nd"], "fractional_positions": [[0.678, 0.471, 0.356], [0.046, 0.362, 0.092], [0.322, 0.529, 0.644], [0.954, 0.638, 0.908], [0.909, 0.268, 0.819], [0.091, 0.732, 0.181], [0.141, 0.117, 0.281], [0.859, 0.883, 0.719], [0.232, 0.824, 0.464], [0.500, 0.000, 0.000], [0.768, 0.176, 0.536]]}

(3)
{"formula": "KHfAsSe2", "functional": "PBE", "state": "relaxed", "e_above_lowest_polymorph_ev_per_atom": 2.001, "raw_formation_energy_ev_per_atom": 1.240, "lattice": [[5.303, 0.000, 0.000], [0.000, 5.303, 0.000], [0.000, 0.000, 5.092]], "species": ["As", "Hf", "K", "Se", "Se"], "fractional_positions": [[0.000, 0.000, 0.500], [0.500, 0.500, 0.500], [0.000, 0.000, 0.000], [0.000, 0.500, 0.000], [0.500, 0.000, 0.000]]}

(4)
{"formula": "Ti3TlTe6", "functional": "PBE", "state": "relaxed", "raw_formation_energy_ev_per_atom": -0.558, "lattice": [[-0.865, -2.363, 2.921], [12.834, -8.015, -2.685], [-0.414, 9.465, 7.535]], "species": ["Ti", "Ti", "Ti", "Ti", "Ti", "Ti", "Tl", "Tl", "Te", "Te", "Te", "Te", "Te", "Te", "Te", "Te", "Te", "Te", "Te", "Te"], "fractional_positions": [[0.750, 0.419, 0.496], [0.250, 0.581, 0.504], [0.750, 0.679, 0.367], [0.250, 0.321, 0.633], [0.750, 0.935, 0.857], [0.250, 0.065, 0.143], [0.750, 0.674, 0.998], [0.250, 0.326, 0.002], [0.750, 0.165, 0.553], [0.250, 0.835, 0.447], [0.750, 0.141, 0.049], [0.250, 0.859, 0.951], [0.750, 0.734, 0.626], [0.250, 0.266, 0.374], [0.750, 0.470, 0.308], [0.250, 0.530, 0.692], [0.750, 0.392, 0.832], [0.250, 0.608, 0.168], [0.750, 0.013, 0.268], [0.250, 0.987, 0.732]]}

(5)
{"formula": "PIrAu", "functional": "PBE", "state": "relaxed", "e_above_lowest_polymorph_ev_per_atom": 0.012, "ef_mev_per_atom": -142, "lattice": [[2.919, 0.000, 0.000], [0.000, 2.919, 0.000], [0.000, 0.000, 5.820]], "species": ["P", "Ir", "Au"], "fractional_positions": [[0.000, 0.000, 0.808], [0.500, 0.500, 0.598], [0.000, 0.000, 0.223]]}

(6)
{"formula": "NaTb2Nd", "functional": "PBE", "state": "relaxed", "e_above_lowest_polymorph_ev_per_atom": 0.000, "ef_mev_per_atom": 142, "lattice": [[-0.173, 2.678, 2.361], [1.598, -2.056, 2.449], [9.495, 3.491, -3.265]], "species": ["Nd", "Tb", "Tb", "Na"], "fractional_positions": [[0.500, 0.500, 0.000], [0.000, 0.000, 0.766], [0.000, 0.000, 0.234], [0.500, 0.500, 0.500]]}

Number 1: energy -431.84 eV for the cell shown. Number 2: energy -51.00 eV for the cell shown. Number 3: energy -16.47 eV for the cell shown. Number 4: energy -100.95 eV for the cell shown. Number 5: energy -17.98 eV for the cell shown. Number 6: energy -14.78 eV for the cell shown.